(1)
InTePd2 | PBE-GGA | optimized geometry

Calculated values
Electronic total energy in eV for the cell shown: -72.1
Relative energy among the computed polymorphs in meV/atom: 0

Lattice parameters (Å, degrees): 5.981 6.646 8.701 90.00 81.69 90.00
Element x y z (fractional)
Te 0.233 0.929 0.362
Te 0.733 0.571 0.362
Te 0.267 0.429 0.638
Te 0.767 0.071 0.638
Pd 0.014 0.198 0.859
Pd 0.082 0.793 0.660
Pd 0.918 0.207 0.340
Pd 0.418 0.293 0.340
Pd 0.486 0.698 0.141
Pd 0.582 0.707 0.660
Pd 0.986 0.802 0.141
Pd 0.514 0.302 0.859
In 0.681 0.102 0.101
In 0.181 0.398 0.101
In 0.819 0.602 0.899
In 0.319 0.898 0.899

***

(2)
YZr2Tc | PBE-GGA | optimized geometry

Calculated values
Electronic total energy in eV for the cell shown: -33.0
Relative energy among the computed polymorphs in meV/atom: 352
Energy of formation from the pure elements in eV/atom: 0.2258

Lattice parameters (Å, degrees): 5.796 5.796 5.796 138.03 138.03 60.85
Element x y z (fractional)
Y 0.750 0.250 0.500
Zr 0.000 0.000 0.000
Zr 0.250 0.750 0.500
Tc 0.500 0.500 0.000

***

(3)
Pm3Ho2Te8 | PBE-GGA | optimized geometry

Calculated values
Electronic total energy in eV for the cell shown: -64.7

Lattice parameters (Å, degrees): 7.602 8.814 8.900 119.68 106.28 90.00
Element x y z (fractional)
Pm 0.000 0.741 0.000
Pm 0.000 0.259 0.000
Pm 0.500 0.000 0.000
Te 0.921 0.125 0.250
Te 0.416 0.877 0.251
Te 0.079 0.875 0.750
Te 0.416 0.374 0.251
Te 0.584 0.123 0.749
Te 0.888 0.618 0.236
Te 0.584 0.626 0.749
Te 0.112 0.382 0.764
Ho 0.667 0.750 0.500
Ho 0.333 0.250 0.500